Ho2FeMoO7: relaxed, PBE with a Hubbard U.

* calculated total energy: -7.577 eV/atom

Cell: 7.1724 7.1998 7.0680 Å, 62.93 61.92 63.14°
Site moments in Bohr magnetons follow the coordinates.
Sites, in units of the cell vectors:
O: 0.6803 0.1887 0.0745  -0.03
O: 0.1044 0.1557 0.6849  -0.05
Ho: 0.5000 0.0000 0.0000  0.01
Mo: 0.0000 0.0000 0.0000  0.98
O: 0.8956 0.8443 0.3151  -0.05
O: 0.8895 0.3902 0.3805  -0.05
O: 0.6067 0.1139 0.6126  -0.10
Fe: 0.5000 0.0000 0.5000  -4.25
O: 0.3933 0.8861 0.3874  -0.10
O: 0.1105 0.6098 0.6195  -0.05
O: 0.6789 0.5992 0.6810  -0.12
Mo: 0.5000 0.5000 0.0000  0.87
O: 0.3197 0.8113 0.9255  -0.03
Ho: 0.0000 0.5000 0.0000  0.01
O: 0.3211 0.4008 0.3190  -0.12
O: 0.3701 0.3963 0.8900  -0.01
O: 0.6299 0.6037 0.1100  -0.01
Ho: 0.0000 0.0000 0.5000  -0.01
Fe: 0.0000 0.5000 0.5000  3.17
O: 0.1158 0.1328 0.1048  0.02
Ho: 0.5000 0.5000 0.5000  0.00
O: 0.8842 0.8672 0.8952  0.02